First-principles (PBE+U) data for Cs2AcVF6 after structural relaxation, as listed in Alexandria via LeMat-Bulk.

a b c (Å): 6.7829 9.3442 6.8330
angles (deg): 90.00 90.00 90.00
Last column: nearest neighbours and their distance in Å.
Space group Pmmn (No. 59, origin choice 2)
Symmetry-distinct sites (fractional):
Cs 0.2500 0.0010 0.2485 x4  12 F 3.34-3.44
Ac 0.2500 0.2500 0.7482 x2  6 F 2.44-2.45
V 0.2500 0.7500 0.7511 x2  6 F 2.22-2.38
F 0.0028 0.7500 0.5058 x4  1 V 2.37, 1 Ac 2.44
F 0.0042 0.7500 0.9990 x4  1 V 2.38, 1 Ac 2.44
F 0.2500 0.5122 0.7509 x4  1 V 2.22, 1 Ac 2.45

Calculated values
Its magnetization is 3.54 μB per formula unit. The density of states at the Fermi level is 7.1 states/eV/cell. The total energy is -5.32 eV per atom. Its crystal system is orthorhombic.